PBE AcHoTeS2, relaxed; spin magnetization = 0.00 μB/f.u.; space-group type = No. 99; DFT total energy = -5.88 eV per atom; formation energy from raw total energies = -1867 meV/atom; volume = 169 Å³/f.u.
1.0
4.906 0.000 0.000
0.000 4.906 0.000
0.000 0.000 7.038
Ac Ho Te S
1 1 1 2
Direct
0.500 0.500 0.668
0.000 0.000 0.046
0.000 0.000 0.469
0.000 0.500 0.909
0.500 0.000 0.909